# PBE-GGA Sm4CdAg3, optimized geometry
data_Sm4CdAg3
_symmetry_space_group_name_H-M 'P 1'
_symmetry_Int_Tables_number 1
_symmetry_space_group_name_Hall 'P 1'
_cell_length_a 3.734
_cell_length_b 5.293
_cell_length_c 10.558
_cell_angle_alpha 90.00
_cell_angle_beta 90.00
_cell_angle_gamma 90.00
loop_
_atom_site_label
_atom_site_type_symbol
_atom_site_fract_x
_atom_site_fract_y
_atom_site_fract_z
_atom_site_occupancy
Cd1 Cd 0.500 0.500 0.000 1
Sm1 Sm 0.000 0.500 0.744 1
Sm2 Sm 0.000 0.000 0.500 1
Sm3 Sm 0.000 0.000 0.000 1
Sm4 Sm 0.000 0.500 0.256 1
Ag1 Ag 0.500 0.000 0.247 1
Ag2 Ag 0.500 0.000 0.753 1
Ag3 Ag 0.500 0.500 0.500 1
# Volume in Å³ per atom: 26.09
# E_form in eV per formula unit: -2.3
# E_tot in eV per atom: -3.827
# M_tot in Bohr magnetons per cell: 0.0
# DOS at the Fermi energy in states/eV/cell: 7.5
# Space-group type: Pmmm (47)
# Polymorph energy (0 for the lowest one) in meV/atom: 0